Below is crystalline RbBOF2 at its relaxed geometry, with properties calculated at the PBE level.

Structure (CIF):
```
data_RbBOF2
_chemical_formula_sum 'Rb1 B1 O1 F2'
_cell_length_a 4.996
_cell_length_b 4.996
_cell_length_c 4.504
_cell_angle_alpha 90.00
_cell_angle_beta 90.00
_cell_angle_gamma 90.00
_space_group_name_H-M_alt 'P 4/m m m'
_space_group_IT_number 123
_space_group_name_Hall '-P 4 2'
loop_
_atom_site_label
_atom_site_type_symbol
_atom_site_fract_x
_atom_site_fract_y
_atom_site_fract_z
Rb1 Rb 0.000 0.000 0.000
B1 B 0.500 0.500 0.500
O1 O 0.000 0.000 0.500
F1 F 0.000 0.500 0.000
```

Properties
ΔE_f (raw) = 595 meV per atom
ρ = 2.22 g cm⁻³


Below is crystalline AlCdRe2 at its relaxed geometry, with properties calculated at the PBE level.

Structure (CIF):
```
data_AlCdRe2
_chemical_formula_sum 'Al4 Cd4 Re8'
_cell_length_a 6.320
_cell_length_b 6.320
_cell_length_c 6.320
_cell_angle_alpha 90.00
_cell_angle_beta 90.00
_cell_angle_gamma 90.00
_space_group_name_H-M_alt 'F m -3 m'
_space_group_IT_number 225
_space_group_name_Hall '-F 4 2 3'
loop_
_atom_site_label
_atom_site_type_symbol
_atom_site_fract_x
_atom_site_fract_y
_atom_site_fract_z
Al1 Al 0.000 0.000 0.000
Cd1 Cd 0.000 0.000 0.500
Re1 Re 0.250 0.250 0.250
```

Properties
ΔH_f (0 K) = 0.66 eV/atom
ρ = 13.47 g cm⁻³


Below is crystalline CeY2Os2 at its relaxed geometry, with properties calculated at the PBE level.

Structure (CIF):
```
data_CeY2Os2
_chemical_formula_sum 'Ce4 Y8 Os8'
_cell_length_a 10.101
_cell_length_b 5.808
_cell_length_c 8.098
_cell_angle_alpha 90.00
_cell_angle_beta 102.71
_cell_angle_gamma 90.00
_space_group_name_H-M_alt 'C 1 2/c 1'
_space_group_IT_number 15
loop_
_space_group_symop_operation_xyz
'x,y,z'
'-x,-y,-z'
'-x,y,-z+1/2'
'x,-y,z+1/2'
'x+1/2,y+1/2,z'
'-x+1/2,-y+1/2,-z'
'-x+1/2,y+1/2,-z+1/2'
'x+1/2,-y+1/2,z+1/2'
loop_
_atom_site_label
_atom_site_type_symbol
_atom_site_fract_x
_atom_site_fract_y
_atom_site_fract_z
Ce1 Ce 0.000 0.135 0.250
Y1 Y 0.151 0.363 0.649
Os1 Os 0.138 0.144 0.011
```

Properties
ΔH_f (0 K) = -0.25 eV/atom
ρ = 10.01 g cm⁻³